1.
Computed, not measured: a relaxed Gd3TlSn4Pb2 crystal at the PBE level of DFT.

a = 12.9089 Å, b = 12.9089 Å, c = 4.6500 Å
α = 90.00°, β = 90.00°, γ = 159.26°
Closest atoms and distances in Å follow each position.
Fractional coordinates of all 10 atoms:
1 Gd 0.0000 0.0000 0.0000  4 Tl 3.29, 4 Pb 3.39, 4 Sn 3.40
2 Gd 0.1887 0.8113 0.0000  8 Sn 3.27-3.50, 2 Pb 3.29
3 Gd 0.8113 0.1887 0.0000  8 Sn 3.27-3.50, 2 Pb 3.29
4 Tl 0.5000 0.5000 0.5000  4 Gd 3.29, 4 Pb 3.39, 4 Sn 3.40
5 Sn 0.0980 0.9020 0.5000  4 Gd 3.27-3.40, 4 Pb 3.29, 2 Tl 3.40, 2 Sn 3.64
6 Sn 0.2917 0.7083 0.5000  2 Sn 3.15, 6 Gd 3.32-3.50
7 Sn 0.7083 0.2917 0.5000  2 Sn 3.15, 6 Gd 3.32-3.50
8 Sn 0.9020 0.0980 0.5000  4 Gd 3.27-3.40, 4 Pb 3.29, 2 Tl 3.40, 2 Sn 3.64
9 Pb 0.4030 0.5970 0.0000  6 Sn 3.29-3.66, 4 Gd 3.29-3.39, 2 Tl 3.39
10 Pb 0.5970 0.4030 0.0000  6 Sn 3.29-3.66, 4 Gd 3.29-3.39, 2 Tl 3.39

Results
Magnetization: 0.01 μB/f.u.
ρ: 9.5 g cm⁻³
Crystal system: orthorhombic
Polymorph energy (0 for the lowest one): 1 meV per atom



2.
Computed, not measured: a relaxed Gd3TlSn4Pb2 crystal at the PBE level of DFT.

a = 13.0116 Å, b = 13.0116 Å, c = 4.7118 Å
α = 90.00°, β = 90.00°, γ = 159.85°
Closest atoms and distances in Å follow each position.
Fractional coordinates of all 10 atoms:
1 Gd 0.0000 0.0000 0.0000  4 Tl 3.28, 4 Sn 3.36, 4 Pb 3.45
2 Gd 0.1888 0.8112 0.0000  8 Sn 3.28-3.52, 2 Pb 3.31
3 Gd 0.8112 0.1888 0.0000  8 Sn 3.28-3.52, 2 Pb 3.31
4 Tl 0.5000 0.5000 0.5000  4 Gd 3.28, 4 Pb 3.39, 4 Sn 3.42
5 Sn 0.2909 0.7091 0.5000  2 Sn 3.09, 4 Gd 3.32
6 Sn 0.4035 0.5965 0.0000  4 Pb 3.28, 4 Gd 3.28-3.36, 2 Tl 3.42
7 Sn 0.5965 0.4035 0.0000  4 Pb 3.28, 4 Gd 3.28-3.36, 2 Tl 3.42
8 Sn 0.7091 0.2909 0.5000  2 Sn 3.09, 4 Gd 3.32
9 Pb 0.0983 0.9017 0.5000  6 Sn 3.28-3.64, 4 Gd 3.31-3.45, 2 Tl 3.39
10 Pb 0.9017 0.0983 0.5000  6 Sn 3.28-3.64, 4 Gd 3.31-3.45, 2 Tl 3.39

Results
Magnetization: 0.01 μB/f.u.
ρ: 9.5 g cm⁻³
Crystal system: orthorhombic
Polymorph energy (0 for the lowest one): 0 meV per atom